# PBE+U CrCoPO2, relaxed
data_CrCoPO2
_cell_length_a 3.6133
_cell_length_b 3.6133
_cell_length_c 5.3277
_cell_angle_alpha 90.00
_cell_angle_beta 90.00
_cell_angle_gamma 90.00
_symmetry_space_group_name_H-M 'P 4/m m m'
_symmetry_Int_Tables_number 123
_symmetry_space_group_name_Hall '-P 4 2'
loop_
_atom_site_label
_atom_site_type_symbol
_atom_site_fract_x
_atom_site_fract_y
_atom_site_fract_z
_atom_site_occupancy
Cr1 Cr 0.0000 0.0000 0.0000 1
Co1 Co 0.5000 0.5000 0.5000 1
P1 P 0.0000 0.0000 0.5000 1
O1 O 0.0000 0.5000 0.0000 1
# ΔE to the lowest computed polymorph   0 meV/atom